# 1
Below is a relaxed Hg3Cl2O2 crystal, with properties calculated at the GGA-PBE level.

Properties
E above lowest polymorph   0.051 eV per atom
E_tot   -2.44 eV per atom

a b c (Å): 8.660 8.660 8.660
angles (deg): 90.00 90.00 90.00
Space group I2_13 (No. 199)
Unique sites:
Hg: 0.000 0.250 0.293 [12 per cell]
Cl: 0.001 0.001 0.001 [8 per cell]
O: 0.244 0.244 0.244 [8 per cell]



# 2
Below is a relaxed SmHgNO crystal, with properties calculated at the GGA-PBE level.

Properties
E above lowest polymorph   0.176 eV per atom
E_tot   -5.52 eV per atom

a b c (Å): 6.676 7.607 5.731
angles (deg): 90.00 90.00 90.00
Space group Pca2_1 (No. 29)
Unique sites:
Sm: 0.069 0.147 0.000 [4 per cell]
Hg: 0.079 0.657 0.011 [4 per cell]
N: 0.098 0.110 0.595 [4 per cell]
O: 0.094 0.604 0.592 [4 per cell]



# 3
Below is a relaxed ZrZnFeOs crystal, with properties calculated at the GGA-PBE level.

Properties
E above lowest polymorph   0.062 eV per atom
Energy of formation   57 meV/atom
E_tot   -7.28 eV per atom

a b c (Å): 6.327 6.327 6.327
angles (deg): 90.00 90.00 90.00
Space group F-43m (No. 216)
Unique sites:
Zr: 0.000 0.000 0.000 [4 per cell]
Zn: 0.250 0.250 0.250 [4 per cell]
Fe: 0.000 0.000 0.500 [4 per cell]
Os: 0.250 0.250 0.750 [4 per cell]



# 4
Below is a relaxed RbTaCoS5 crystal, with properties calculated at the GGA-PBE level.

Properties
E_tot   -5.81 eV per atom

a b c (Å): 7.118 7.509 8.640
angles (deg): 64.35 87.98 73.36
Space group P-1 (No. 2)
Unique sites:
Rb: 0.094 0.168 0.184 [2 per cell]
Ta: 0.258 0.470 0.491 [2 per cell]
Co: 0.485 0.521 0.180 [2 per cell]
S: 0.084 0.240 0.536 [2 per cell]
S: 0.186 0.691 0.189 [2 per cell]
S: 0.258 0.389 0.798 [2 per cell]
S: 0.425 0.723 0.531 [2 per cell]
S: 0.444 0.715 0.904 [2 per cell]